VASP calculation (PBE+U) on a relaxed ScVN2O crystal.

```
data_ScVN2O
_chemical_formula_sum 'Sc1 V1 N2 O1'
_space_group_name_H-M_alt 'P 4/m m m'
_space_group_IT_number 123
_space_group_name_Hall '-P 4 2'
_cell_length_a 4.058
_cell_length_b 4.058
_cell_length_c 3.902
_cell_angle_alpha 90.00
_cell_angle_beta 90.00
_cell_angle_gamma 90.00
loop_
_atom_site_label
_atom_site_type_symbol
_atom_site_fract_x
_atom_site_fract_y
_atom_site_fract_z
_atom_site_occupancy
Sc1 Sc 0.000 0.000 0.000 1
V1 V 0.500 0.500 0.500 1
N1 N 0.000 0.500 0.000 1
O1 O 0.000 0.000 0.500 1
```

Results
- raw total energy (eV per atom) = -6.538
- M_tot (Bohr magnetons per cell) = 0.00